Record 1
5
Lattice="5.836 0.000 0.000 0.000 7.846 0.000 0.000 0.000 5.836" Properties=species:S:1:pos:R:3 comment="CsHg2TeC, optimized geometry, DFT PBE" formation_energy_uncorrected_ev_per_atom=1.055 m_tot_mub_per_fu=2.87 pbc="T T T"
Cs 0.000 3.923 0.000
C 2.918 3.923 2.918
Te 0.000 0.000 0.000
Hg 0.000 0.000 2.918
Hg 2.918 0.000 0.000


Record 2
4
Lattice="4.554 -0.003 0.005 3.791 2.522 0.005 0.723 0.218 4.626" Properties=species:S:1:pos:R:3 comment="Mn2MoRh, optimized geometry, DFT PBE" ef_ev_per_atom=0.119 m_tot_mub_per_fu=2.35 pbc="T T T"
Mn 8.308 2.509 0.042
Mn 4.571 1.380 2.287
Mo 6.801 2.053 3.477
Rh 2.267 0.684 1.159


Record 3
4
Lattice="3.345 0.000 0.000 0.000 3.345 0.000 0.000 0.000 8.270" Properties=species:S:1:pos:R:3 comment="YPuCdRu, optimized geometry, DFT PBE" ef_ev_per_atom=-0.223 m_tot_mub_per_fu=5.16 pbc="T T T"
Y 1.673 1.673 6.464
Pu 1.673 1.673 3.017
Cd 0.000 0.000 0.574
Ru 0.000 0.000 4.705


Record 4
12
Lattice="5.399 0.000 0.000 -2.699 8.858 -0.844 0.000 -4.766 7.979" Properties=species:S:1:pos:R:3 comment="NdHo3Tl2, optimized geometry, DFT PBE" ef_ev_per_atom=-0.172 m_tot_mub_per_fu=0.39 pbc="T T T"
Nd 2.699 2.197 6.632
Nd 0.000 1.895 0.503
Ho 0.000 2.555 4.300
Ho 2.699 4.960 4.001
Ho 2.699 -1.243 5.312
Ho 0.000 5.335 1.823
Ho 0.000 -0.868 3.133
Ho 2.699 1.537 2.835
Tl 2.699 -3.798 6.864
Tl 0.000 7.890 0.271
Tl 2.699 4.206 0.730
Tl 0.000 -0.114 6.405


Record 5
4
Lattice="5.346 0.000 0.000 2.673 4.630 0.000 2.673 1.543 4.365" Properties=species:S:1:pos:R:3 comment="PmPuScTl, optimized geometry, DFT PBE" ef_ev_per_atom=0.103 m_tot_mub_per_fu=7.01 pbc="T T T"
Sc 2.673 1.543 1.091
Tl 0.000 0.000 0.000
Pm 5.346 3.086 2.182
Pu 8.019 4.630 3.274


Record 6
4
Lattice="4.527 -0.038 0.006 1.196 4.366 -0.006 -2.457 -2.699 2.678" Properties=species:S:1:pos:R:3 comment="BeTlNi2, optimized geometry, DFT PBE" ef_ev_per_atom=0.170 m_tot_mub_per_fu=0.00 pbc="T T T"
Ni 0.264 0.200 0.000
Ni 2.598 1.965 0.000
Tl 2.466 -0.286 1.342
Be 0.800 1.916 1.336